Crystalline Cs2Pa3Se6 at its relaxed geometry. Source: Alexandria via LeMat-Bulk, functional PBE-GGA.

abc: 7.178 7.178 9.079
angles: 82.42 74.71 60.00
Each line ends with the local moment (μB).
Atoms (fractional coordinates):
Cs 0.167 0.667 0.500  0.00
Se 0.729 0.000 0.811  -0.03
Se 0.064 0.333 0.812  -0.03
Se 0.936 0.667 0.188  -0.03
Se 0.604 0.333 0.188  -0.03
Pa 0.334 0.332 0.000  1.35
Pa 0.000 0.000 0.000  1.35
Pa 0.666 0.668 0.000  1.35
Se 0.396 0.667 0.812  -0.03
Cs 0.833 0.333 0.500  0.00
Se 0.271 0.000 0.189  -0.03

Output
calculated density = 6.1 g/cm³
formation energy without anion corrections = -1.352 eV/atom


Crystalline Cs2Pa3Se8 at its relaxed geometry. Source: Alexandria via LeMat-Bulk, functional PBE-GGA.

abc: 7.316 8.538 9.732
angles: 116.02 105.52 90.00
Each line ends with the local moment (μB).
Atoms (fractional coordinates):
Se 0.382 0.863 0.179  -0.02
Cs 0.669 0.734 0.468  0.00
Pa 0.000 0.743 0.000  0.45
Se 0.958 0.598 0.196  -0.02
Pa 0.000 0.257 0.000  0.45
Se 0.042 0.402 0.804  -0.02
Se 0.897 0.090 0.180  -0.02
Se 0.618 0.684 0.821  -0.02
Se 0.103 0.910 0.820  -0.02
Cs 0.331 0.266 0.532  0.00
Se 0.618 0.137 0.821  -0.02
Se 0.382 0.316 0.179  -0.02
Pa 0.500 0.000 0.000  0.38

Output
excess energy over the best structure of this formula in the dataset = 0.0 kJ/mol of atoms
calculated density = 5.1 g/cm³
formation energy without anion corrections = -1.401 eV/atom


Crystalline Cs5PaSe4 at its relaxed geometry. Source: Alexandria via LeMat-Bulk, functional PBE-GGA.

abc: 4.580 10.141 10.981
angles: 100.32 102.04 90.00
Each line ends with the local moment (μB).
Atoms (fractional coordinates):
Se 0.996 0.187 0.992  -0.02
Cs 0.500 0.500 0.000  0.00
Pa 0.500 0.000 0.000  0.82
Se 0.004 0.813 0.008  -0.02
Cs 0.172 0.840 0.344  0.00
Cs 0.841 0.683 0.683  0.00
Cs 0.828 0.160 0.656  0.00
Cs 0.159 0.317 0.317  0.00
Se 0.633 0.062 0.266  -0.02
Se 0.367 0.938 0.734  -0.02

Output
calculated density = 4.1 g/cm³
formation energy without anion corrections = -1.083 eV/atom